Version i
A plane-wave DFT calculation with PBE was carried out for crystalline Ba2NaHgRh at its relaxed geometry.

```
Ba2NaHgRh
1.0
-5.665 1.621 0.195
-0.327 -0.439 -5.870
-1.497 -5.290 0.480
Rh Hg Ba Na
1 1 2 1
Direct
0.000 0.000 0.000
0.500 0.500 0.500
0.500 0.000 0.000
0.000 0.500 0.000
0.000 0.000 0.500
```

## Properties
For the density, the calculation gives 5.204 Mg/m³. As for the space-group type: P4/mmm. The magnetic moment comes out at 0.00 μB per cell.

---

Version ii
A plane-wave DFT calculation with PBE was carried out for crystalline Ba2NaHgRh at its relaxed geometry.

```
Ba2NaHgRh
1.0
5.994 0.000 0.000
0.000 5.994 0.000
0.000 0.000 5.436
Na Ba Hg Rh
1 2 1 1
Direct
0.500 0.500 0.500
0.500 0.000 0.000
0.000 0.500 0.000
0.000 0.000 0.500
0.000 0.000 0.000
```

## Properties
For the density, the calculation gives 5.111 Mg/m³. As for the space-group type: P4/mmm. The magnetic moment comes out at 0.00 μB per cell.

---

The computed energies, referenced to the most stable structure and given in meV/atom, are version i 76; version ii 0.